First-principles (GGA-PBE) data for crystalline BaScZnRe2 at its relaxed geometry, as listed in Alexandria.

- calculated total energy (eV per atom) = -5.565
- DOS(E_F) (states/eV per cell) = 5.99
- calculated volume (Å³ per cell) = 116

abc: 4.866 4.866 4.916
angles: 90.00 90.00 90.00
Space group P4/mmm (No. 123)
One atom of each set of equivalent atoms:
Ba 0.000 0.000 0.000 [1 per cell]
Sc 0.500 0.500 0.000 [1 per cell]
Zn 0.500 0.500 0.500 [1 per cell]
Re 0.000 0.500 0.500 [2 per cell]